# AlSnGe2

AlSnGe2 after structural relaxation (GGA-PBE, the Alexandria database).

Values from the calculation:
- space group = No. 225
- formation energy from the elements (eV/atom) = 0.264

Lattice parameters (Å, degrees): 4.898 4.898 4.898 60.00 60.00 60.00
Fractional coordinates of all 4 atoms:
Ge: 0.750 0.750 0.750
Ge: 0.250 0.250 0.250
Al: 0.000 0.000 0.000
Sn: 0.500 0.500 0.500



# FeCoSb2

FeCoSb2 after structural relaxation (GGA-PBE, the Alexandria database).

Values from the calculation:
- E_form (uncorrected) (eV/atom) = 0.235
- space group = No. 44

Lattice parameters (Å, degrees): 6.722 6.722 6.722 149.85 152.61 41.19
Fractional coordinates of all 4 atoms:
Fe: 0.290 0.790 0.500
Co: 0.550 0.550 0.000
Sb: 0.704 0.204 0.500
Sb: 0.957 0.957 0.000



# Nd2Ho8Sc

Nd2Ho8Sc after structural relaxation (GGA-PBE, the Alexandria database).

Values from the calculation:
- space group = No. 12
- formation energy from the elements (eV/atom) = 0.032

Lattice parameters (Å, degrees): 4.985 7.903 9.343 104.74 105.47 90.00
Fractional coordinates of all 11 atoms:
Sc: 0.500 0.000 0.000
Ho: 0.320 0.091 0.640
Ho: 0.411 0.551 0.822
Ho: 0.680 0.909 0.360
Ho: 0.867 0.825 0.734
Ho: 0.044 0.730 0.088
Ho: 0.589 0.449 0.178
Ho: 0.956 0.270 0.912
Ho: 0.133 0.175 0.266
Nd: 0.226 0.637 0.452
Nd: 0.774 0.363 0.548



# TiInIr3

TiInIr3 after structural relaxation (GGA-PBE, the Alexandria database).

Values from the calculation:
- space group = No. 221
- formation energy from the elements (eV/atom) = 1.750

Lattice parameters (Å, degrees): 4.779 4.779 4.779 90.00 90.00 90.00
Fractional coordinates of all 5 atoms:
Ir: 0.500 0.000 0.000
Ir: 0.000 0.000 0.500
Ir: 0.000 0.500 0.000
In: 0.000 0.000 0.000
Ti: 0.500 0.500 0.500



no.,DFT total energy (eV per cell)
1,-15.92
2,-22.87
3,-52.13
4,-28.46